# InMoNF2, optimized geometry, DFT PBE+U
data_InMoNF2
_cell_length_a 4.385
_cell_length_b 4.385
_cell_length_c 4.021
_cell_angle_alpha 90.00
_cell_angle_beta 90.00
_cell_angle_gamma 90.00
_symmetry_space_group_name_H-M 'P 1'
_symmetry_Int_Tables_number 1
loop_
_symmetry_equiv_pos_as_xyz
'x,y,z'
loop_
_atom_site_label
_atom_site_fract_x
_atom_site_fract_y
_atom_site_fract_z
In1 0.000 0.000 0.000
Mo1 0.500 0.500 0.500
N1 0.500 0.500 0.000
F1 0.000 0.500 0.500
F2 0.500 0.000 0.500
# raw total energy	-5.38	eV/atom
# magnetization	1.99	μB per formula unit
# SG	P4/mmm (123)
# DOS at the Fermi energy	0.47	states/eV/f.u.